Cr2TcI after structural relaxation. Source: Alexandria, functional PBE-GGA.

Computed properties:
DOS(E_F) = 3.88 states/eV/cell
space group = I-42d
polymorph energy (0 for the lowest one) = 57.7 meV/atom
E_form (uncorrected) = 4.4 eV per formula unit
total energy = -6.6966 eV per atom

Structure (extended XYZ):
```
8
Lattice="-3.3114 3.3114 4.3635 3.3114 -3.3114 4.3635 3.3114 3.3114 -4.3635" Properties=species:S:1:pos:R:3 pbc="T T T"
Cr 1.6557 1.3279 -1.0909
Cr 1.9835 -1.6557 5.4544
Cr 1.6557 1.9835 3.2726
Cr 1.3279 4.9671 1.0909
Tc 0.0000 0.0000 0.0000
Tc 0.0000 3.3114 2.1818
I 3.3114 0.0000 2.1818
I 0.0000 0.0000 4.3635
```

***

RuSe after structural relaxation. Source: Alexandria, functional PBE-GGA.

Computed properties:
DOS(E_F) = 3.32 states/eV/cell
space group = Imma
E_form (uncorrected) = 0.6 eV per formula unit
total energy = -6.0897 eV per atom

Structure (extended XYZ):
```
4
Lattice="-1.5216 2.2025 4.8667 1.5216 -2.2025 4.8667 1.5216 2.2025 -4.8667" Properties=species:S:1:pos:R:3 pbc="T T T"
Ru 0.0000 1.1012 0.9700
Ru 1.5216 1.1012 3.8967
Se 1.5216 1.1012 -1.0677
Se 0.0000 1.1012 5.9345
```

***

LaTbNd5Er2 after structural relaxation. Source: Alexandria, functional PBE-GGA.

Computed properties:
DOS(E_F) = 28.58 states/eV/cell
space group = Cmc2_1
formation energy from the elements = 0.150 eV per atom
total energy = -4.5750 eV per atom

Structure (extended XYZ):
```
18
Lattice="2.8639 -10.1902 0.0000 2.8639 10.1902 0.0000 0.0000 0.0000 10.6865" Properties=species:S:1:pos:R:3 pbc="T T T"
La 2.8639 8.4686 5.3432
La 2.8639 -8.4686 0.0000
Tb 2.8639 4.0536 0.6561
Tb 2.8639 -4.0536 5.9993
Nd 2.8639 9.7661 8.4469
Nd 2.8639 7.8666 0.7941
Nd 2.8639 6.0339 8.0816
Nd 2.8639 5.7116 3.8886
Nd 2.8639 0.3387 0.7809
Nd 2.8639 -0.3387 6.1241
Nd 2.8639 -5.7116 9.2318
Nd 2.8639 -6.0339 2.7384
Nd 2.8639 -7.8666 6.1374
Nd 2.8639 -9.7661 3.1037
Er 2.8639 2.3599 3.9457
Er 2.8639 2.3093 8.3778
Er 2.8639 -2.3093 3.0345
Er 2.8639 -2.3599 9.2889
```

***

LaNd3Tm4 after structural relaxation. Source: Alexandria, functional PBE-GGA.

Computed properties:
DOS(E_F) = 29.97 states/eV/cell
space group = Pmn2_1
polymorph energy (0 for the lowest one) = 0.0 meV/atom
formation energy from the elements = 0.031 eV per atom
total energy = -4.6086 eV per atom

Structure (extended XYZ):
```
16
Lattice="11.5263 0.0000 0.0000 0.0000 7.3180 0.0000 0.0000 0.0000 6.2845" Properties=species:S:1:pos:R:3 pbc="T T T"
La 0.0000 0.9234 0.0000
La 5.7631 6.3946 3.1422
Nd 0.0000 6.3686 3.1623
Nd 2.8688 0.9548 2.1419
Nd 2.8943 6.3631 5.2842
Nd 5.7631 0.9494 0.0201
Nd 8.6319 6.3631 5.2842
Nd 8.6575 0.9548 2.1419
Tm 0.0000 2.7995 3.1643
Tm 0.0000 4.5341 0.0327
Tm 2.8873 2.7863 5.2661
Tm 2.8758 4.5317 2.1238
Tm 5.7631 2.7839 3.1750
Tm 5.7631 4.5185 0.0221
Tm 8.6390 2.7863 5.2661
Tm 8.6505 4.5317 2.1238
```

***

RbNaCoI4 after structural relaxation. Source: Alexandria, functional PBE-GGA.

Computed properties:
space group = P2_1/m
E_form (uncorrected) = -5.5 eV per formula unit
total energy = -3.0127 eV per atom

Structure (extended XYZ):
```
14
Lattice="7.5642 0.0000 0.0000 0.0000 8.2281 0.0000 -3.0324 0.0000 9.3866" Properties=species:S:1:pos:R:3 pbc="T T T"
Rb 1.6341 2.0570 0.5771
Rb 2.8978 6.1711 8.8095
Na 0.0525 2.0570 5.2695
Na 4.4794 6.1711 4.1171
Co 0.6583 6.1711 2.9828
Co 3.8735 2.0570 6.4038
I -2.1433 0.0195 6.7960
I -2.1433 4.0946 6.7960
I 2.6187 6.1711 1.2943
I 1.5693 6.1711 5.3767
I 2.9626 2.0570 4.0099
I 1.9132 2.0570 8.0923
I 6.6751 4.1335 2.5906
I 6.6751 8.2086 2.5906
```

***

KBaSnPb after structural relaxation. Source: Alexandria, functional PBE-GGA.

Computed properties:
DOS(E_F) = 1.84 states/eV/cell
space group = R3m
polymorph energy (0 for the lowest one) = 0.0 meV/atom
formation energy from the elements = -0.296 eV per atom
total energy = -2.9786 eV per atom

Structure (extended XYZ):
```
4
Lattice="2.4573 1.4187 9.2812 -2.4573 1.4187 9.2812 0.0000 -2.8374 9.2812" Properties=species:S:1:pos:R:3 pbc="T T T"
K 0.0000 0.0000 0.0000
Ba 0.0000 0.0000 5.2604
Sn 0.0000 0.0000 21.9572
Pb 0.0000 0.0000 11.4489
```

***

K3CdHg12 after structural relaxation. Source: Alexandria, functional PBE-GGA.

Computed properties:
DOS(E_F) = 5.66 states/eV/cell
space group = P4/mmm
formation energy from the elements = -0.158 eV per atom
total energy = -0.6477 eV per atom

Structure (extended XYZ):
```
16
Lattice="5.0240 0.0000 0.0000 0.0000 5.0240 0.0000 0.0000 0.0000 19.1405" Properties=species:S:1:pos:R:3 pbc="T T T"
K 0.0000 0.0000 0.0000
K 0.0000 0.0000 5.0449
K 0.0000 0.0000 14.0956
Cd 0.0000 0.0000 9.5703
Hg 0.0000 2.5120 2.5109
Hg 0.0000 2.5120 7.4627
Hg 0.0000 2.5120 11.6778
Hg 0.0000 2.5120 16.6296
Hg 2.5120 0.0000 2.5109
Hg 2.5120 0.0000 7.4627
Hg 2.5120 0.0000 11.6778
Hg 2.5120 0.0000 16.6296
Hg 2.5120 2.5120 0.0000
Hg 2.5120 2.5120 5.0545
Hg 2.5120 2.5120 9.5703
Hg 2.5120 2.5120 14.0860
```

***

Sr2CuOs after structural relaxation. Source: Alexandria, functional PBE-GGA.

Computed properties:
DOS(E_F) = 4.21 states/eV/cell
space group = Imm2
formation energy from the elements = 0.467 eV per atom
total energy = -4.2056 eV per atom

Structure (extended XYZ):
```
4
Lattice="-2.0409 2.3820 5.5586 2.0409 -2.3820 5.5586 2.0409 2.3820 -5.5586" Properties=species:S:1:pos:R:3 pbc="T T T"
Sr 0.0000 0.0000 0.0000
Sr 0.0000 2.3820 2.5448
Cu 0.0000 0.0000 4.7442
Os 2.0409 0.0000 3.4929
```

***

ZrMn2Fe after structural relaxation. Source: Alexandria, functional PBE-GGA.

Computed properties:
DOS(E_F) = 1.59 states/eV/cell
space group = F-43m
polymorph energy (0 for the lowest one) = 2.8 meV/atom
formation energy from the elements = 0.058 eV per atom
total energy = -8.7797 eV per atom

Structure (extended XYZ):
```
4
Lattice="0.0000 3.0441 3.0441 3.0441 0.0000 3.0441 3.0441 3.0441 0.0000" Properties=species:S:1:pos:R:3 pbc="T T T"
Zr 0.0000 0.0000 0.0000
Mn 1.5221 1.5221 1.5221
Mn 3.0441 3.0441 3.0441
Fe 4.5662 4.5662 4.5662
```

***

Pr6ZnGa3 after structural relaxation. Source: Alexandria, functional PBE-GGA.

Computed properties:
DOS(E_F) = 18.39 states/eV/cell
space group = P2_1/c
formation energy from the elements = -0.258 eV per atom
total energy = -4.1612 eV per atom

Structure (extended XYZ):
```
20
Lattice="7.8044 0.0000 0.0000 0.0000 8.1624 0.0000 -7.6391 0.0000 9.4142" Properties=species:S:1:pos:R:3 pbc="T T T"
Pr -1.7631 0.8236 2.3553
Pr -5.5827 3.2576 7.0624
Pr 1.2506 5.4739 0.6201
Pr -2.5690 6.7696 5.3272
Pr 2.6466 1.3746 0.6557
Pr -1.1730 2.7065 5.3628
Pr 1.3383 5.4558 4.0515
Pr -2.4812 6.7877 8.7586
Pr 2.7343 1.3927 4.0871
Pr -1.0853 2.6884 8.7942
Pr 5.7480 4.9048 2.3518
Pr 1.9284 7.3388 7.0590
Zn 0.0827 0.0000 4.7071
Zn 3.9022 4.0812 0.0000
Ga 0.0000 0.0000 0.0000
Ga -3.8195 4.0812 4.7071
Ga -3.3697 1.1234 7.0714
Ga 0.4498 2.9578 2.3643
Ga -0.2845 5.2045 7.0499
Ga 3.5350 7.0390 2.3428
```

***

BaCr3Au after structural relaxation. Source: Alexandria, functional PBE-GGA.

Computed properties:
DOS(E_F) = 3.79 states/eV/cell
space group = Pm-3m
polymorph energy (0 for the lowest one) = 1496.0 meV/atom
formation energy from the elements = 2.369 eV per atom
total energy = -4.4451 eV per atom

Structure (extended XYZ):
```
5
Lattice="4.9931 0.0000 0.0000 0.0000 4.9931 0.0000 0.0000 0.0000 4.9931" Properties=species:S:1:pos:R:3 pbc="T T T"
Ba 0.0000 0.0000 0.0000
Cr 0.0000 0.0000 2.4966
Cr 0.0000 2.4966 0.0000
Cr 2.4966 0.0000 0.0000
Au 2.4966 2.4966 2.4966
```

***

LiReTcMo after structural relaxation. Source: Alexandria, functional PBE-GGA.

Computed properties:
DOS(E_F) = 4.96 states/eV/cell
space group = F-43m
formation energy from the elements = 0.219 eV per atom
total energy = -8.6708 eV per atom

Structure (extended XYZ):
```
4
Lattice="0.0000 3.0627 3.0627 3.0627 0.0000 3.0627 3.0627 3.0627 0.0000" Properties=species:S:1:pos:R:3 pbc="T T T"
Li 0.0000 0.0000 0.0000
Re 3.0627 3.0627 3.0627
Tc 4.5941 4.5941 4.5941
Mo 1.5314 1.5314 1.5314
```